Entry 1:
This record from Alexandria describes a geometry-optimized Rb2NaTaCl6 structure. The functional is GGA-PBE.

Geometry as extended XYZ:
```
10
Lattice="0.0000 5.2399 5.2399 5.2399 0.0000 5.2399 5.2399 5.2399 0.0000" Properties=species:S:1:pos:R:3 pbc="T T T"
Rb 2.6200 2.6200 2.6200
Rb 7.8599 7.8599 7.8599
Cl 5.2399 2.4820 5.2399
Cl 5.2399 5.2399 2.4820
Cl 2.4820 5.2399 5.2399
Cl 5.2399 7.9979 5.2399
Cl 5.2399 5.2399 7.9979
Cl 7.9979 5.2399 5.2399
Ta 0.0000 0.0000 0.0000
Na 5.2399 5.2399 5.2399
```

Calculated values
The calculation puts the formation energy from raw total energies at -15.59 eV/f.u. The value obtained for the density of states at the Fermi level is 8.0 states/eV per cell. As for the electronic total energy: -4.1772 eV per atom.



Entry 2:
This record from Alexandria describes a geometry-optimized RbNaTaCl2 structure. The functional is GGA-PBE.

Geometry as extended XYZ:
```
5
Lattice="-0.2353 -4.8074 2.2872 2.0020 -2.4815 -5.0100 5.0114 0.5726 1.7190" Properties=species:S:1:pos:R:3 pbc="T T T"
Cl 2.5057 0.2863 0.8595
Cl -0.1176 -2.4037 1.1436
Rb 1.0010 -1.2408 -2.5050
Ta 3.3891 -3.3582 -0.5019
Na 0.0000 0.0000 0.0000
```

Calculated values
The calculation puts the formation energy from raw total energies at 2.15 eV/f.u. The value obtained for the density of states at the Fermi level is 4.1 states/eV per cell. As for the electronic total energy: -3.1369 eV per atom.



Entry 3:
This record from Alexandria describes a geometry-optimized RbNaTb2Cl8 structure. The functional is GGA-PBE.

Geometry as extended XYZ:
```
12
Lattice="-4.7892 -5.0192 0.8896 0.8210 -0.3189 6.7683 -5.9301 5.8338 0.9956" Properties=species:S:1:pos:R:3 pbc="T T T"
Cl -8.5188 2.3012 6.2849
Cl -8.2099 0.4676 3.1202
Cl -1.3795 -1.8056 2.3687
Cl -1.6884 0.0281 5.5333
Cl -4.3973 1.0474 2.9263
Cl -4.9694 3.2561 6.0840
Cl -5.5010 -0.5517 5.7272
Cl -4.9289 -2.7604 2.5695
Tb -6.4678 1.7417 4.5816
Tb -3.4305 -1.2461 4.0720
Rb -2.9651 2.9169 0.4978
Na 0.0000 0.0000 0.0000
```

Calculated values
The calculation puts the formation energy from raw total energies at -25.60 eV/f.u. The value obtained for the density of states at the Fermi level is 0.0 states/eV per cell. As for the electronic total energy: -4.3266 eV per atom.



Entry 4:
This record from Alexandria describes a geometry-optimized RbNaTcCl6 structure. The functional is GGA-PBE.

Geometry as extended XYZ:
```
18
Lattice="-0.3807 4.5271 5.2803 -5.7601 -3.1864 -2.2780 2.1578 -10.3641 9.0414" Properties=species:S:1:pos:R:3 pbc="T T T"
Cl 0.2231 -0.8167 6.4996
Cl -2.5925 -6.0883 7.5874
Cl -0.8905 -7.7808 5.2410
Cl -1.9521 -10.6647 6.4483
Cl -4.2061 -8.2067 5.5441
Cl -3.4082 -0.5288 3.4365
Cl -1.3905 -2.9352 4.4563
Cl -3.0926 -1.2427 6.8027
Cl -0.1072 0.0715 3.3368
Cl -3.8759 -9.0949 8.7069
Cl -2.0310 1.6413 5.5954
Cl -0.5749 -8.4947 8.6072
Tc -1.6344 -0.6351 5.0212
Tc -2.3487 -8.3884 7.0225
Na -3.4275 -3.2063 2.5018
Na -0.5555 -5.8172 9.5419
Rb 1.0789 -5.1821 4.5207
Rb 0.0000 0.0000 0.0000
```

Calculated values
The calculation puts the formation energy from raw total energies at -11.39 eV/f.u. As for the electronic total energy: -3.9026 eV per atom.



Entry 5:
This record from Alexandria describes a geometry-optimized RbNa2TeCl structure. The functional is GGA-PBE.

Geometry as extended XYZ:
```
5
Lattice="6.4461 0.0000 0.0000 0.0000 5.4233 0.0000 0.0000 0.0000 6.4461" Properties=species:S:1:pos:R:3 pbc="T T T"
Na 0.0000 0.0000 3.2230
Na 3.2230 0.0000 0.0000
Cl 0.0000 2.7117 0.0000
Te 3.2230 2.7117 3.2230
Rb 0.0000 0.0000 0.0000
```

Calculated values
The calculation puts the formation energy from raw total energies at -1.67 eV/f.u. The value obtained for the density of states at the Fermi level is 1.9 states/eV per cell. For the polymorph energy (0 for the lowest one), the calculation gives 785.2 meV/atom. As for the electronic total energy: -2.0521 eV per atom.



Entry 6:
This record from Alexandria describes a geometry-optimized Rb2NaTeCl structure. The functional is GGA-PBE.

Geometry as extended XYZ:
```
5
Lattice="6.1450 0.0000 0.0000 0.0000 6.1450 0.0000 0.0000 0.0000 5.3268" Properties=species:S:1:pos:R:3 pbc="T T T"
Te 3.0725 3.0725 2.6634
Rb 0.0000 3.0725 0.0000
Rb 3.0725 0.0000 0.0000
Cl 0.0000 0.0000 0.0000
Na 0.0000 0.0000 2.6634
```

Calculated values
The calculation puts the formation energy from raw total energies at -5.85 eV/f.u. As for the electronic total energy: -2.8192 eV per atom.



Entry 7:
This record from Alexandria describes a geometry-optimized Rb2NaTeCl6 structure. The functional is GGA-PBE.

Geometry as extended XYZ:
```
20
Lattice="7.8033 0.0000 0.0000 3.9016 6.7578 0.0000 3.9016 2.2526 12.3641" Properties=species:S:1:pos:R:3 pbc="T T T"
Cl 7.8032 6.6767 11.0344
Cl 9.8213 3.3401 4.7776
Cl 7.8033 2.3337 1.3297
Cl 7.8033 2.1750 7.5864
Cl 5.7852 5.6703 7.5864
Cl 9.8213 5.6703 7.5864
Cl 9.6838 3.4195 11.0344
Cl 5.7852 3.3401 4.7776
Cl 5.9227 3.4195 11.0344
Cl 7.8033 6.8354 4.7776
Cl 9.6838 5.5910 1.3297
Cl 5.9227 5.5910 1.3297
Rb 3.9016 2.2526 7.4630
Rb 3.9016 2.2526 1.4409
Rb 11.7049 6.7578 4.9011
Rb 11.7049 6.7578 10.9232
Te 7.8033 4.5052 6.1820
Te 0.0000 0.0000 0.0000
Na 7.8033 4.5052 3.0029
Na 7.8033 4.5052 9.3611
```

Calculated values
The calculation puts the formation energy from raw total energies at -12.53 eV/f.u. The value obtained for the density of states at the Fermi level is 3.0 states/eV per cell. As for the electronic total energy: -3.0006 eV per atom.



Entry 8:
This record from Alexandria describes a geometry-optimized RbNa2TeCl structure. The functional is GGA-PBE.

Geometry as extended XYZ:
```
5
Lattice="5.3560 0.0000 0.0000 0.0000 5.3560 0.0000 0.0000 0.0000 6.0139" Properties=species:S:1:pos:R:3 pbc="T T T"
Te 2.6780 2.6780 3.0070
Na 2.6780 0.0000 0.0000
Na 0.0000 2.6780 0.0000
Rb 0.0000 0.0000 3.0070
Cl 0.0000 0.0000 0.0000
```

Calculated values
The calculation puts the formation energy from raw total energies at -5.59 eV/f.u. For the polymorph energy (0 for the lowest one), the calculation gives 0.0 meV/atom. As for the electronic total energy: -2.8373 eV per atom.



Entry 9:
This record from Alexandria describes a geometry-optimized RbNaThCl6 structure. The functional is GGA-PBE.

Geometry as extended XYZ:
```
18
Lattice="7.3032 0.0000 0.0000 -3.6516 6.3248 0.0000 0.0000 0.0000 14.2839" Properties=species:S:1:pos:R:3 pbc="T T T"
Cl 5.8679 2.2761 2.0354
Cl 2.2163 4.0487 9.1773
Cl -2.2163 4.0487 12.2485
Cl 1.2535 2.3811 12.2485
Cl -1.2535 2.3811 9.1773
Cl 4.6144 0.1049 5.1066
Cl 4.9051 3.9437 5.1066
Cl -0.9628 6.2198 9.1773
Cl 0.9628 6.2198 12.2485
Cl 2.6888 0.1049 2.0354
Cl 1.4353 2.2761 5.1066
Cl 2.3981 3.9437 2.0354
Rb 0.0000 0.0000 0.0000
Rb 0.0000 0.0000 7.1420
Th 0.0000 4.2165 10.7129
Th 3.6516 2.1083 3.5710
Na 3.6516 2.1083 10.7129
Na 0.0000 4.2165 3.5710
```

Calculated values
The calculation puts the formation energy from raw total energies at -18.81 eV/f.u. The value obtained for the density of states at the Fermi level is 0.0 states/eV per cell. As for the electronic total energy: -4.3997 eV per atom.



Entry 10:
This record from Alexandria describes a geometry-optimized RbNa2TiCl6 structure. The functional is GGA-PBE.

Geometry as extended XYZ:
```
10
Lattice="7.1046 0.0116 0.0083 3.5623 6.1555 -0.0003 3.5627 2.0513 6.4495" Properties=species:S:1:pos:R:3 pbc="T T T"
Rb 10.6610 6.1647 3.7768
Cl 5.6274 2.0851 1.4277
Cl 6.0964 6.4289 1.4435
Cl 5.2193 3.7779 5.0136
Cl 9.6303 3.8447 1.4523
Cl 8.3486 2.6246 5.0214
Cl 7.7712 5.9068 5.0080
Ti 3.5561 2.0479 0.0889
Na 7.1147 4.1080 2.7794
Na 3.5673 2.0474 6.3709
```

Calculated values
The calculation puts the formation energy from raw total energies at -17.24 eV/f.u. The value obtained for the density of states at the Fermi level is 6.7 states/eV per cell. As for the electronic total energy: -3.9825 eV per atom.